This record from Alexandria via LeMat-Bulk describes a relaxed structure of RbHg3Pd. The functional is PBE-GGA.

Unit cell a=24.9068 b=7.0684 c=8.8733 alpha=90.00 beta=157.00 gamma=90.00
Element x y z (fractional)
Hg  0.2936  0.8444  0.8774
Pd  0.4508  0.1740  0.3223
Hg  0.7936  0.6556  0.3774
Hg  0.2064  0.3444  0.6226
Rb  0.2217  0.0871  0.0355
Rb  0.7217  0.4129  0.5355
Hg  0.9141  0.3919  0.4135
Hg  0.5859  0.8919  0.0865
Hg  0.0647  0.9844  0.0034
Hg  0.4353  0.4844  0.4966
Hg  0.7064  0.1556  0.1226
Pd  0.5492  0.8260  0.6777
Rb  0.7783  0.9129  0.9645
Hg  0.5647  0.5156  0.5034
Rb  0.2783  0.5871  0.4645
Pd  0.9508  0.3260  0.8223
Hg  0.9353  0.0156  0.9966
Hg  0.4141  0.1081  0.9135
Pd  0.0492  0.6740  0.1777
Hg  0.0859  0.6081  0.5865

Values from the calculation:
The value obtained for the formation enthalpy at 0 K is -0.1970 eV/atom. The value obtained for the density of states at the Fermi level is 1.293 states/eV/f.u. Its polymorph energy (0 for the lowest one) is 0.293 eV/f.u. Its space-group type is No. 14.